# 1
A plane-wave DFT calculation with GGA-PBE was carried out for CaBiSe2I after structural relaxation.

```
data_CaBiSe2I
_cell_length_a 5.5911
_cell_length_b 5.5911
_cell_length_c 5.9266
_cell_angle_alpha 90.00
_cell_angle_beta 90.00
_cell_angle_gamma 90.00
_space_group_name_H-M_alt 'P 4/m m m'
_space_group_IT_number 123
_space_group_name_Hall '-P 4 2'
loop_
_atom_site_label
_atom_site_type_symbol
_atom_site_fract_x
_atom_site_fract_y
_atom_site_fract_z
Ca1 Ca 0.0000 0.0000 0.0000
Bi1 Bi 0.5000 0.5000 0.5000
Se1 Se 0.0000 0.5000 0.5000
I1 I 0.5000 0.5000 0.0000
```

Computed properties:
Its formation energy without anion corrections is -382 meV/atom. As for the density of states at the Fermi level: 0.35 states/eV/f.u.


# 2
A plane-wave DFT calculation with GGA-PBE was carried out for GaReCl3 after structural relaxation.

```
data_GaReCl3
_cell_length_a 5.0743
_cell_length_b 5.0743
_cell_length_c 5.0743
_cell_angle_alpha 90.00
_cell_angle_beta 90.00
_cell_angle_gamma 90.00
_space_group_name_H-M_alt 'P m -3 m'
_space_group_IT_number 221
_space_group_name_Hall '-P 4 2 3'
loop_
_atom_site_label
_atom_site_type_symbol
_atom_site_fract_x
_atom_site_fract_y
_atom_site_fract_z
Ga1 Ga 0.0000 0.0000 0.0000
Re1 Re 0.5000 0.5000 0.5000
Cl1 Cl 0.0000 0.0000 0.5000
```

Computed properties:
Its formation energy without anion corrections is 600 meV/atom. As for the density of states at the Fermi level: 1.01 states/eV/f.u. Its excess energy over the best structure of this formula in the dataset is 2.653 eV per formula unit.


# 3
A plane-wave DFT calculation with GGA-PBE was carried out for SmZr2ReC4 after structural relaxation.

```
data_SmZr2ReC4
_cell_length_a 3.3653
_cell_length_b 11.7975
_cell_length_c 11.6684
_cell_angle_alpha 90.00
_cell_angle_beta 90.00
_cell_angle_gamma 90.00
_space_group_name_H-M_alt 'C m c m'
_space_group_IT_number 63
_space_group_name_Hall '-C 2c 2'
loop_
_atom_site_label
_atom_site_type_symbol
_atom_site_fract_x
_atom_site_fract_y
_atom_site_fract_z
Sm1 Sm 0.0000 0.0992 0.2500
Zr1 Zr 0.0000 0.3700 0.0383
Re1 Re 0.0000 0.1634 0.7500
C1 C 0.0000 0.0000 0.0000
C2 C 0.0000 0.2617 0.6184
C3 C 0.0000 0.4322 0.2500
```

Computed properties:
As for the formation enthalpy at 0 K: -0.31 eV per atom. As for the density of states at the Fermi level: 3.49 states/eV/f.u.


# 4
A plane-wave DFT calculation with GGA-PBE was carried out for LiSiIr after structural relaxation.

```
data_LiSiIr
_cell_length_a 2.8400
_cell_length_b 2.8400
_cell_length_c 6.1848
_cell_angle_alpha 90.00
_cell_angle_beta 90.00
_cell_angle_gamma 120.00
_space_group_name_H-M_alt 'P 3 m 1'
_space_group_IT_number 156
_space_group_name_Hall 'P 3 -2"'
loop_
_atom_site_label
_atom_site_type_symbol
_atom_site_fract_x
_atom_site_fract_y
_atom_site_fract_z
Li1 Li 0.0000 0.0000 0.0000
Si1 Si 0.3333 0.6667 0.3519
Ir1 Ir 0.6667 0.3333 0.6468
```

Computed properties:
Its formation energy without anion corrections is -195 meV/atom. As for the density of states at the Fermi level: 2.46 states/eV/f.u.